10
Lattice="8.206 0.000 0.000 0.000 8.206 0.000 0.000 0.000 2.854" Properties=species:S:1:pos:R:3 comment="PBE CuHg2Os2, relaxed" crystal_system=tetragonal space_group="P4/mbm (127)" de_polymorph_ev_per_atom=0.214 magmom_total_mub_per_fu=0.7 formation_energy_ev_per_atom=1.134 pbc="T T T"
Os 0.831 4.934 1.427
Os 4.934 7.375 1.427
Os 7.375 3.272 1.427
Os 3.272 0.831 1.427
Hg 2.515 6.618 0.000
Hg 6.618 5.690 0.000
Hg 5.690 1.587 0.000
Hg 1.587 2.515 0.000
Cu 0.000 0.000 0.000
Cu 4.103 4.103 0.000